The following is a DFT calculation (PBE) of a geometry-optimized Tm2RuPb structure.

a b c (Å): 4.8919 4.8919 3.7978
angles (deg): 90.00 90.00 90.00
Closest atoms and distances in Å follow each position.
Space group P4/mmm (No. 123)
Unique sites:
Tm  0.0000  0.5000  0.0000 (multiplicity 2)  4 Pb 3.10, 4 Ru 3.10, 4 Tm 3.46
Ru  0.0000  0.0000  0.5000 (multiplicity 1)  8 Tm 3.10, 4 Pb 3.46
Pb  0.5000  0.5000  0.5000 (multiplicity 1)  8 Tm 3.10, 4 Ru 3.46

## Properties
E = -5.78 eV/atom
D(E_F) = 2.707 states/eV/cell
energy relative to the elements = -299 meV per atom
energy above the lowest structure with this stoichiometry = 212.5 meV per atom